1.
Sm2YHo6 | PBE | optimized geometry

Cell lengths 3.4757, 9.7261, 10.3297 Å; angles 118.08, 109.59, 90.00 degrees
Closest atoms and distances in Å follow each position.
Positions (direct):
1 Sm 0.6662 0.3334 0.6667  2 Sm 3.48, 12 Ho 3.68-3.69
2 Sm 0.3338 0.6666 0.3333  2 Sm 3.48, 12 Ho 3.68-3.69
3 Y 0.0000 0.0000 0.0000  2 Y 3.48, 12 Ho 3.67
4 Ho 0.1679 0.9999 0.6675  5 Ho 3.23-3.48
5 Ho 0.8321 0.3324 0.3325  5 Ho 3.23-3.48
6 Ho 0.8321 0.0001 0.3325  5 Ho 3.23-3.48
7 Ho 0.5000 0.3323 0.0000  5 Ho 3.24-3.48
8 Ho 0.1679 0.6676 0.6675  5 Ho 3.23-3.48
9 Ho 0.5000 0.6677 0.0000  5 Ho 3.24-3.48

Computed properties:
Formation enthalpy at 0 K in eV per atom: 0.071
Space-group type: C2/m (12)
Polymorph energy (0 for the lowest one) in eV/atom: 0.0000
Spin magnetization in μB/f.u.: 0.00



2.
Ca2Si2Rh5Au | PBE | optimized geometry

Cell lengths 3.3710, 9.9724, 9.9724 Å; angles 90.00, 90.00, 90.00 degrees
Closest atoms and distances in Å follow each position.
Positions (direct):
1 Ca 0.0000 0.6741 0.1741  3 Si 2.82-3.03, 10 Rh 2.98-3.15
2 Ca 0.0000 0.3259 0.8259  3 Si 2.82-3.03, 10 Rh 2.98-3.15
3 Ca 0.0000 0.1741 0.3259  3 Si 2.82-3.03, 10 Rh 2.98-3.15
4 Ca 0.0000 0.8259 0.6741  3 Si 2.82-3.03, 10 Rh 2.98-3.15
5 Si 0.0000 0.1262 0.6262  6 Rh 2.37-2.45
6 Si 0.0000 0.8738 0.3738  6 Rh 2.37-2.45
7 Si 0.0000 0.6262 0.8738  6 Rh 2.37-2.45
8 Si 0.0000 0.3738 0.1262  6 Rh 2.37-2.45
9 Rh 0.5000 0.2174 0.0693  2 Si 2.37
10 Rh 0.5000 0.7826 0.9307  2 Si 2.37
11 Rh 0.5000 0.0693 0.7826  2 Si 2.37
12 Rh 0.5000 0.7174 0.4307  2 Si 2.37
13 Rh 0.5000 0.9307 0.2174  2 Si 2.37
14 Rh 0.5000 0.2826 0.5693  2 Si 2.37
15 Rh 0.5000 0.5693 0.7174  2 Si 2.37
16 Rh 0.5000 0.4307 0.2826  2 Si 2.37
17 Rh 0.5000 0.5000 0.0000  4 Si 2.45
18 Rh 0.5000 0.0000 0.5000  4 Si 2.45
19 Au 0.0000 0.0000 0.0000  8 Rh 2.83
20 Au 0.0000 0.5000 0.5000  8 Rh 2.83

Computed properties:
Space-group type: P4/mbm (127)
Formation energy without anion corrections in meV/atom: -674
Spin magnetization in μB/f.u.: 0.00



Energy in eV/atom, matching the order above: -4.7473, -6.1622
N(E_F) in states/eV/f.u., matching the order above: 14.8, 5.8
Theoretical density in g/cm3, matching the order above: 8.037, 8.399